Record 1
{"formula": "CdSiRhCl", "functional": "GGA-PBE", "state": "relaxed", "lattice_angstrom": [[3.389, 0.000, 0.000], [0.000, 3.389, 0.000], [0.000, 0.000, 14.248]], "species": ["Rh", "Rh", "Si", "Si", "Cl", "Cl", "Cd", "Cd"], "frac_coords": [[0.500, 0.500, 0.683], [0.000, 0.000, 0.183], [0.000, 0.000, 0.677], [0.500, 0.500, 0.177], [0.500, 0.500, 0.890], [0.000, 0.000, 0.390], [0.500, 0.500, 0.497], [0.000, 0.000, 0.997]], "e_tot_ry_per_atom": -0.310, "dos_ef_per_ev_fu": 0.44, "crystal_system": "tetragonal", "spacegroup": "I4mm, No. 107"}


Record 2
{"formula": "LiNdUSe3", "functional": "GGA-PBE", "state": "relaxed", "lattice_angstrom": [[-3.612, 1.419, -0.854], [-2.294, -0.889, 8.230], [3.382, 8.227, -0.633]], "species": ["U", "U", "Se", "Se", "Se", "Se", "Se", "Se", "Nd", "Nd", "Li", "Li"], "frac_coords": [[0.750, 0.348, 0.854], [0.250, 0.652, 0.146], [0.250, 0.573, 0.805], [0.750, 0.219, 0.506], [0.250, 0.099, 0.873], [0.750, 0.901, 0.127], [0.750, 0.427, 0.195], [0.250, 0.781, 0.494], [0.250, 0.183, 0.231], [0.750, 0.817, 0.769], [0.750, 0.912, 0.411], [0.250, 0.088, 0.589]], "e_tot_ry_per_atom": -0.447, "dos_ef_per_ev_fu": 6.21, "crystal_system": "monoclinic", "spacegroup": "P2_1/m, No. 11"}


Record 3
{"formula": "MgZn2W", "functional": "GGA-PBE", "state": "relaxed", "lattice_angstrom": [[9.352, -0.005, -0.003], [8.912, 2.833, -0.003], [8.912, 1.380, 2.474]], "species": ["W", "Zn", "Zn", "Mg"], "frac_coords": [[0.750, 0.750, 0.750], [0.497, 0.497, 0.497], [0.003, 0.003, 0.003], [0.250, 0.250, 0.250]], "e_tot_ry_per_atom": -0.297, "dos_ef_per_ev_fu": 2.15, "crystal_system": "trigonal", "spacegroup": "R-3m, No. 166", "formation_energy_ev_per_atom": 0.2310}


Record 4
{"formula": "Pr2AlIr3", "functional": "GGA-PBE", "state": "relaxed", "lattice_angstrom": [[5.679, 0.000, 0.000], [-2.839, 4.918, 0.000], [0.000, 0.000, 8.235]], "species": ["Ir", "Ir", "Ir", "Ir", "Ir", "Ir", "Al", "Al", "Pr", "Pr", "Pr", "Pr"], "frac_coords": [[0.168, 0.336, 0.250], [0.336, 0.168, 0.750], [0.664, 0.832, 0.250], [0.168, 0.832, 0.250], [0.832, 0.664, 0.750], [0.832, 0.168, 0.750], [0.000, 0.000, 0.000], [0.000, 0.000, 0.500], [0.333, 0.667, 0.564], [0.667, 0.333, 0.436], [0.333, 0.667, 0.936], [0.667, 0.333, 0.064]], "e_tot_ry_per_atom": -0.544, "dos_ef_per_ev_fu": 3.62, "crystal_system": "hexagonal", "spacegroup": "P6_3/mmc, No. 194", "formation_energy_ev_per_atom": -0.7574}


Record 5
{"formula": "DyMgZr", "functional": "GGA-PBE", "state": "relaxed", "lattice_angstrom": [[-2.878, -1.632, -0.141], [2.390, -0.666, -2.193], [3.012, -5.748, 5.029]], "species": ["Zr", "Mg", "Dy"], "frac_coords": [[0.667, 0.333, 0.334], [0.000, 0.000, 0.012], [0.333, 0.667, 0.654]], "e_tot_ry_per_atom": -0.356, "dos_ef_per_ev_fu": 3.39, "crystal_system": "trigonal", "spacegroup": "P3m1, No. 156", "formation_energy_ev_per_atom": 0.0690}


Record 6
{"formula": "Si2TcAu", "functional": "GGA-PBE", "state": "relaxed", "lattice_angstrom": [[-2.915, -2.120, 2.896], [-2.875, -2.361, -2.746], [4.624, 0.010, 0.034]], "species": ["Au", "Si", "Si", "Tc"], "frac_coords": [[0.250, 0.750, 0.500], [0.500, 0.500, 0.000], [0.000, 0.000, 0.000], [0.750, 0.250, 0.500]], "e_tot_ry_per_atom": -0.442, "dos_ef_per_ev_fu": 0.45, "crystal_system": "tetragonal", "spacegroup": "I4/mmm, No. 139"}


> Number 5 is which compound?

DyMgZr